An optimized crystal structure of Rb2CrHI6, computed with PBE.

Output
DFT total energy = -2.94 eV per atom
space-group type = I4/mmm, No. 139

Unit cell a=7.6191 b=7.6191 c=8.3508 alpha=62.86 beta=62.86 gamma=90.00
With the nearest neighbours (Å) after each atom.
Atoms (fractional coordinates):
I: 0.2155 0.2155 0.5691  1 Cr 2.75
I: 0.7845 0.7845 0.4309  1 Cr 2.75
I: 0.2581 0.2581 0.0000  1 H 2.61, 1 Cr 2.78
I: 0.7419 0.7419 0.0000  1 H 2.61, 1 Cr 2.78
I: 0.7419 0.2581 0.0000  1 H 2.61, 1 Cr 2.78
I: 0.2581 0.7419 0.0000  1 H 2.61, 1 Cr 2.78
Cr: 0.0000 0.0000 0.0000  6 I 2.75-2.78
Rb: 0.7500 0.2500 0.5000  12 I 3.83-4.18
Rb: 0.2500 0.7500 0.5000  12 I 3.83-4.18
H: 0.5000 0.5000 0.0000  4 I 2.61